Rb2Fe3CoF12: optimized geometry, PBE with a Hubbard U.

Results
Magnetic moment: 13.00 μB/cell
Total DFT energy (no corrections): -5.011 eV/atom
DOS(E_F): 5.34 states/eV/cell

Cell and atoms, written as POSCAR:
```
Rb2Fe3CoF12
1.0
7.331 -0.018 -0.012
3.605 6.383 -0.012
3.605 2.098 6.028
F Fe Rb Co
12 3 2 1
Direct
0.930 0.326 0.326
0.326 0.326 0.930
0.067 0.690 0.067
0.933 0.933 0.310
0.310 0.933 0.933
0.070 0.674 0.674
0.690 0.067 0.067
0.326 0.930 0.326
0.674 0.070 0.674
0.933 0.310 0.933
0.674 0.674 0.070
0.067 0.067 0.690
0.000 0.500 0.000
0.000 0.000 0.500
0.500 0.000 0.000
0.371 0.371 0.371
0.629 0.629 0.629
0.000 0.000 0.000
```